1.
SrAl9Cu2 | PBE | relaxed

Properties
M_tot in μB per cell: 0.00
N(E_F) in states/eV/cell: 8.69
Energy relative to the elements in eV per atom: -0.152

a b c (Å): 7.2569 8.4445 8.4445
angles (deg): 79.36 64.55 64.55
Fractional positions:
Sr 0.2500 0.5000 0.5000
Al 0.0660 0.3249 0.9227
Al 0.3136 0.0773 0.6751
Al 0.1409 0.1751 0.4227
Al 0.0660 0.9227 0.3249
Cu 0.8750 0.7500 0.2500
Sr 0.5000 0.0000 0.0000
Al 0.4364 0.4227 0.8249
Cu 0.3750 0.7500 0.7500
Al 0.7500 0.5000 0.5000
Al 0.6840 0.1751 0.5773
Cu 0.8750 0.2500 0.2500
Al 0.7387 0.5773 0.8249
Cu 0.8750 0.2500 0.7500
Al 0.6840 0.5773 0.1751
Al 0.3136 0.6751 0.0773
Al 0.0000 0.0000 0.0000
Al 0.1409 0.4227 0.1751
Al 0.0113 0.9227 0.6751
Al 0.6091 0.3249 0.0773
Al 0.7387 0.8249 0.5773
Al 0.4364 0.8249 0.4227
Al 0.0113 0.6751 0.9227
Al 0.6091 0.0773 0.3249


2.
V9MoW2 | PBE | relaxed

Properties
M_tot in μB per cell: 0.00
N(E_F) in states/eV/cell: 9.56
Energy relative to the elements in eV per atom: 0.189

a b c (Å): 4.9896 4.9896 8.5170
angles (deg): 72.97 72.97 60.00
Fractional positions:
V 0.3324 0.3324 0.0027
V 0.0821 0.5859 0.7461
W 0.1454 0.1454 0.5639
V 0.9179 0.4141 0.2539
V 0.5000 0.5000 0.5000
Mo 0.0000 0.0000 0.0000
V 0.5859 0.0821 0.7461
W 0.8546 0.8546 0.4361
V 0.4141 0.4141 0.2539
V 0.4141 0.9179 0.2539
V 0.6676 0.6676 0.9973
V 0.5859 0.5859 0.7461


3.
HoGa2Fe2C | PBE | relaxed

Properties
M_tot in μB per cell: 0.00
N(E_F) in states/eV/cell: 3.24
Energy relative to the elements in eV per atom: -0.327

a b c (Å): 3.8524 3.8524 5.5206
angles (deg): 90.00 90.00 90.00
Fractional positions:
C 0.0000 0.0000 0.0000
Fe 0.5000 0.0000 0.0000
Ga 0.5000 0.5000 0.2749
Fe 0.0000 0.5000 0.0000
Ho 0.0000 0.0000 0.5000
Ga 0.5000 0.5000 0.7251


4.
AcLa3Mg | PBE | relaxed

Properties
M_tot in μB per cell: 0.00
N(E_F) in states/eV/cell: 13.44
Energy above the most stable polymorph in this dataset in meV per atom: 66
Energy relative to the elements in eV per atom: 0.038

a b c (Å): 5.2552 6.4106 12.0165
angles (deg): 80.74 90.00 114.20
Fractional positions:
La 0.7114 0.4228 0.7660
Ac 0.4280 0.8560 0.6529
La 0.9880 0.9761 0.8644
La 0.0120 0.0239 0.1356
La 0.2886 0.5772 0.2340
La 0.8533 0.7066 0.4463
La 0.1467 0.2934 0.5537
Ac 0.5720 0.1440 0.3471
Mg 0.2902 0.5804 0.9398
Mg 0.7098 0.4196 0.0602


5.
Nd4AsRh2 | PBE | relaxed

Properties
M_tot in μB per cell: 0.00
N(E_F) in states/eV/cell: 10.74
Energy relative to the elements in eV per atom: -0.757

a b c (Å): 7.8148 7.8011 7.8097
angles (deg): 108.93 109.01 110.48
Fractional positions:
As 0.9999 0.0004 0.0004
Nd 0.8623 0.6163 0.1260
Nd 0.3846 0.0113 0.2544
Rh 0.1259 0.4833 0.8586
Nd 0.2643 0.1378 0.7541
Rh 0.5181 0.3756 0.6415
Rh 0.6243 0.2667 0.1434
As 0.2498 0.7502 0.4995
Nd 0.4912 0.7376 0.8732
Nd 0.7592 0.1318 0.7448
Rh 0.7317 0.8742 0.3565
Nd 0.3823 0.5079 0.2466
Nd 0.8699 0.6152 0.6278
Nd 0.9865 0.2416 0.3731


6.
Ac6LaIn | PBE | relaxed

Properties
M_tot in μB per cell: 0.00
N(E_F) in states/eV/cell: 11.10
Energy relative to the elements in eV per atom: -0.078

a b c (Å): 5.4207 5.4207 11.7080
angles (deg): 76.61 76.61 90.00
Fractional positions:
Ac 0.3821 0.8821 0.2358
Ac 0.6179 0.1179 0.7642
La 0.5000 0.5000 0.0000
In 0.0000 0.0000 0.0000
Ac 0.2503 0.2503 0.4994
Ac 0.7497 0.7497 0.5006
Ac 0.1179 0.6179 0.7642
Ac 0.8821 0.3821 0.2358


7.
CePaTl | PBE | relaxed

Properties
M_tot in μB per cell: 0.00
N(E_F) in states/eV/cell: 13.34
Energy above the most stable polymorph in this dataset in meV per atom: 14
Energy relative to the elements in eV per atom: 0.125

a b c (Å): 3.7948 3.7948 12.2316
angles (deg): 98.92 98.92 90.00
Fractional positions:
Ce 0.1530 0.1530 0.3060
Pa 0.7115 0.7115 0.4230
Pa 0.2885 0.2885 0.5770
Tl 0.5627 0.5627 0.1254
Ce 0.8470 0.8470 0.6940
Tl 0.4373 0.4373 0.8746


8.
ZnAs2 | PBE | relaxed

Properties
M_tot in μB per cell: 0.00
N(E_F) in states/eV/cell: 4.44
Energy relative to the elements in eV per atom: 0.350

a b c (Å): 4.7457 4.7457 5.6458
angles (deg): 90.00 90.00 120.00
Fractional positions:
As 0.0000 0.0000 0.0000
As 0.3333 0.6667 0.2500
Zn 0.3333 0.6667 0.7500
As 0.6667 0.3333 0.7500
As 0.0000 0.0000 0.5000
Zn 0.6667 0.3333 0.2500